(1)
RbSr2TlH | PBE | relaxed

Cell: 5.528 5.528 5.478 Å, 90.00 90.00 90.00°
Space group P4/mmm (No. 123)
One atom of each set of equivalent atoms:
Rb 0.000 0.000 0.000
Sr 0.000 0.500 0.500
Tl 0.500 0.500 0.000
H 0.000 0.000 0.500

Output
The size of the total moment is 0.000 μB per atom. The value obtained for the total energy is -2.143 eV/atom. As for the energy above the most stable polymorph in this dataset: 0.00 eV/f.u.


(2)
RbTa2H | PBE | relaxed

Cell: 6.639 6.639 6.639 Å, 90.00 90.00 90.00°
Space group Fm-3m (No. 225)
One atom of each set of equivalent atoms:
Rb 0.000 0.000 0.000
Ta 0.250 0.250 0.250
H 0.000 0.000 0.500

Output
The size of the total moment is 0.000 μB per atom. The value obtained for the total energy is -4.315 eV/atom. As for the energy above the most stable polymorph in this dataset: 6.45 eV/f.u.


(3)
RbTa3H | PBE | relaxed

Cell: 4.448 4.448 4.448 Å, 90.00 90.00 90.00°
Space group Pm-3m (No. 221)
One atom of each set of equivalent atoms:
Rb 0.000 0.000 0.000
Ta 0.000 0.500 0.500
H 0.500 0.500 0.500

Output
The size of the total moment is 0.000 μB per atom. The value obtained for the total energy is -6.532 eV/atom. As for the energy above the most stable polymorph in this dataset: 0.00 eV/f.u.